20
Lattice="12.1926 0.0000 0.0000 0.0000 4.6669 0.0000 -5.5510 0.0000 15.1170" Properties=species:S:1:pos:R:3 comment="Ba6ZnAu3 (PBE, optimized geometry)" space_group="P2_1/m (11)" m_tot_mub_per_cell=0.0 energy_ev_per_atom=-2.712 pbc="T T T"
Ba -0.5326 1.1667 1.7449
Ba -1.4683 3.5002 6.1970
Ba -1.4400 1.1667 12.2972
Ba 0.8095 1.1667 9.0254
Ba 2.4032 1.1667 4.8860
Ba 4.0972 3.5002 1.2276
Ba 2.5444 1.1667 13.8894
Ba 4.2384 3.5002 10.2310
Ba 5.8322 3.5002 6.0916
Ba 8.0816 3.5002 2.8198
Ba 8.1099 1.1667 8.9200
Ba 7.1742 3.5002 13.3721
Zn 1.0217 3.5002 11.6500
Zn 5.6199 1.1667 3.4670
Au -1.6714 3.5002 9.7204
Au -3.3827 1.1667 14.9992
Au 2.4194 3.5002 7.2053
Au 4.2222 1.1667 7.9117
Au 10.0243 3.5002 0.1178
Au 8.3130 1.1667 5.3966

=====

9
Lattice="4.9561 0.0000 0.0000 0.0000 4.9561 0.0000 0.0000 0.0000 8.4169" Properties=species:S:1:pos:R:3 comment="CaMgCd2Ag5 (PBE, optimized geometry)" space_group="P4/mmm (123)" m_tot_mub_per_cell=0.0 energy_ev_per_atom=-2.150 pbc="T T T"
Ca 0.0000 0.0000 0.0000
Mg 0.0000 0.0000 4.2085
Cd 2.4780 2.4780 2.8874
Cd 2.4780 2.4780 5.5296
Ag 0.0000 2.4780 1.7256
Ag 0.0000 2.4780 6.6913
Ag 2.4780 0.0000 1.7256
Ag 2.4780 0.0000 6.6913
Ag 2.4780 2.4780 0.0000

=====

20
Lattice="4.6474 -7.5366 0.0000 4.6474 7.5366 0.0000 -0.9166 0.0000 9.3146" Properties=species:S:1:pos:R:3 comment="NdSm6Er2Sc (PBE, optimized geometry)" space_group="C2/c (15)" m_tot_mub_per_cell=0.0 energy_ev_per_atom=-4.726 pbc="T T T"
Nd 3.9600 7.1079 6.9859
Nd 4.4182 -7.1079 2.3286
Sm 1.8185 3.3000 2.8741
Sm 4.0660 4.8468 0.4974
Sm 4.7705 4.8468 4.1599
Sm 2.9446 1.7048 8.2738
Sm 1.3602 -3.3000 7.5314
Sm 4.9753 1.7048 5.6981
Sm 3.4029 -1.7048 3.6165
Sm 7.0180 3.3000 1.7832
Sm 5.4336 -1.7048 1.0408
Sm 3.6077 -4.8468 5.1547
Sm 4.3122 -4.8468 8.8172
Sm 6.5597 -3.3000 6.4404
Er 1.8832 0.7514 5.1369
Er 2.3415 -0.7514 0.4796
Er 6.0367 0.7514 8.8350
Er 6.4950 -0.7514 4.1777
Sc 4.4182 1.2204 2.3286
Sc 3.9600 -1.2204 6.9859

=====

11
Lattice="3.8369 -7.2999 0.0000 3.8369 7.2999 0.0000 -2.4212 0.0000 8.7987" Properties=species:S:1:pos:R:3 comment="Rb2Th2HgTe6 (PBE, optimized geometry)" space_group="C2/m (12)" m_tot_mub_per_cell=0.0 formation_energy_uncorrected_ev_per_atom=-0.98 pbc="T T T"
Rb 3.8369 5.0504 0.0000
Rb 3.8369 -5.0504 0.0000
Th 2.6263 2.4967 4.3993
Th 2.6263 -2.4967 4.3993
Hg -1.2106 0.0000 4.3993
Te 0.1739 2.7176 6.2510
Te 1.1066 0.0000 2.8807
Te 0.1739 -2.7176 6.2510
Te 5.0787 2.7176 2.5477
Te 4.1460 0.0000 5.9180
Te 5.0787 -2.7176 2.5477

=====

5
Lattice="5.5176 0.0000 0.0000 0.0000 5.5176 0.0000 0.0000 0.0000 5.5176" Properties=species:S:1:pos:R:3 comment="NbHg3Au (PBE, optimized geometry)" space_group="Pm-3m (221)" m_tot_mub_per_cell=3.3 e_above_lowest_polymorph_mev_per_atom=8 pbc="T T T"
Nb 0.0000 0.0000 0.0000
Hg 0.0000 0.0000 2.7588
Hg 0.0000 2.7588 0.0000
Hg 2.7588 0.0000 0.0000
Au 2.7588 2.7588 2.7588

=====

8
Lattice="-1.9794 1.9794 9.5778 1.9794 -1.9794 9.5778 1.9794 1.9794 -9.5778" Properties=species:S:1:pos:R:3 comment="LiCrAg2 (PBE, optimized geometry)" space_group="I-42d (122)" m_tot_mub_per_cell=9.2 e_above_lowest_polymorph_mev_per_atom=308 pbc="T T T"
Li 0.0000 0.0000 0.0000
Li 0.0000 1.9794 4.7889
Cr 1.9794 0.0000 4.7889
Cr 0.0000 0.0000 9.5778
Ag 2.9691 0.9788 -2.3944
Ag 0.9788 0.9897 2.3944
Ag -0.9897 1.0006 7.1833
Ag 1.0006 0.9897 11.9722

=====

4
Lattice="0.0000 3.2630 3.2630 3.2630 0.0000 3.2630 3.2630 3.2630 0.0000" Properties=species:S:1:pos:R:3 comment="ScAl2Zn (PBE, optimized geometry)" space_group="F-43m (216)" m_tot_mub_per_cell=0.0 energy_ev_per_atom=-3.936 pbc="T T T"
Sc 0.0000 0.0000 0.0000
Al 3.2630 3.2630 3.2630
Al 4.8945 4.8945 4.8945
Zn 1.6315 1.6315 1.6315

=====

5
Lattice="5.6645 0.0000 0.0000 0.0000 5.6645 0.0000 0.0000 0.0000 5.6645" Properties=species:S:1:pos:R:3 comment="CdSnBi3 (PBE, optimized geometry)" space_group="Pm-3m (221)" m_tot_mub_per_cell=0.0 e_above_lowest_polymorph_mev_per_atom=0 pbc="T T T"
Cd 0.0000 0.0000 0.0000
Sn 2.8322 2.8322 2.8322
Bi 0.0000 0.0000 2.8322
Bi 0.0000 2.8322 0.0000
Bi 2.8322 0.0000 0.0000